NaMnTlBr4 | Alexandria via LeMat-Bulk | PBE | optimized geometry; symmetry = P2_1/m (11); raw formation energy = -1.0148 eV/atom
1.0
7.286 0.000 0.000
0.000 7.599 0.000
-2.581 0.000 8.526
Na Mn Tl Br
2 2 2 8
Cartesian
1.475 1.900 0.496 Na
3.230 5.699 8.030 Na
-0.373 5.699 7.018 Mn
5.079 1.900 1.508 Mn
0.275 1.900 4.753 Tl
4.431 5.699 3.772 Tl
-1.955 0.006 6.607 Br
-1.955 3.794 6.607 Br
1.548 5.699 5.444 Br
3.114 5.699 0.795 Br
1.592 1.900 7.731 Br
3.157 1.900 3.082 Br
6.660 3.805 1.919 Br
6.660 7.593 1.919 Br


TbSm2NpAs4 | Alexandria via LeMat-Bulk | PBE | optimized geometry; symmetry = P2/m (10); formation enthalpy at 0 K = -1.31 eV per atom
1.0
7.211 0.000 0.000
0.000 4.161 0.000
-2.386 0.000 6.811
Tb Sm Np As
1 2 1 4
Cartesian
0.000 0.000 0.000 Tb
-1.193 2.080 3.406 Sm
2.413 0.000 3.406 Sm
3.606 2.080 0.000 Np
1.231 2.080 1.653 As
0.028 0.000 5.162 As
4.798 0.000 1.649 As
3.595 2.080 5.158 As


PrDyC | Alexandria via LeMat-Bulk | PBE | optimized geometry; relative energy among the computed polymorphs = 0.000 eV/atom; symmetry = P3m1 (156); formation enthalpy at 0 K = -0.15 eV per atom
1.0
3.632 0.000 0.000
-1.816 3.145 0.000
0.000 0.000 6.546
Pr Dy C
1 1 1
Cartesian
0.000 0.000 0.000 Pr
1.816 1.048 3.764 Dy
0.000 2.097 5.022 C


KMg2Al | Alexandria via LeMat-Bulk | PBE | optimized geometry; symmetry = P2/m (10); formation enthalpy at 0 K = 0.18 eV per atom
1.0
3.178 0.000 0.000
0.000 4.015 0.000
-0.056 0.000 9.001
K Mg Al
1 2 1
Cartesian
0.000 0.000 0.000 K
1.563 2.008 2.925 Mg
1.559 2.008 6.076 Mg
-0.028 0.000 4.501 Al


no.,total DFT energy (no corrections) (eV/atom),density of states at the Fermi level (states/eV/cell),volume (Å³ per cell)
1,-3.807,0.00,472
2,-7.013,11.89,204
3,-6.355,2.36,75
4,-1.832,1.86,115